## MgAg2P2O6 (PBE)

Data for a relaxed MgAg2P2O6 crystal.

a = 5.0643 Å, b = 5.0643 Å, c = 6.9082 Å
α = 90.00°, β = 90.00°, γ = 120.00°
Space group P-3 (No. 147)
Unique sites:
Mg 0.0000 0.0000 0.0000
Ag 0.3333 0.6667 0.5812
P 0.3333 0.6667 0.2284
O 0.0545 0.3591 0.1793

E_form (uncorrected) in meV per atom: -1611